CaMnOs2: relaxed, PBE.

Cell: 2.9505 4.7203 9.6723 Å, 90.00 90.00 90.00°
Sites, in units of the cell vectors:
1 Ca 0.0000 0.0000 0.0000
2 Ca 0.5000 0.5000 0.5000
3 Mn 0.0000 0.5000 0.7777
4 Mn 0.5000 0.0000 0.2777
5 Os 0.0000 0.0000 0.5057
6 Os 0.0000 0.5000 0.2252
7 Os 0.5000 0.0000 0.7252
8 Os 0.5000 0.5000 0.0057

Properties
- Formation energy: 534.1 meV per atom
- Calculated density: 11.72 g/cm3
- Space group: No. 44

CaMnOs2: relaxed, PBE.

Cell: 6.3766 6.3766 6.3766 Å, 90.00 90.00 90.00°
Sites, in units of the cell vectors:
1 Ca 0.0000 0.0000 0.0000
2 Ca 0.0000 0.5000 0.5000
3 Ca 0.5000 0.0000 0.5000
4 Ca 0.5000 0.5000 0.0000
5 Mn 0.2500 0.2500 0.7500
6 Mn 0.2500 0.7500 0.2500
7 Mn 0.7500 0.2500 0.2500
8 Mn 0.7500 0.7500 0.7500
9 Os 0.0000 0.0000 0.5000
10 Os 0.0000 0.5000 0.0000
11 Os 0.2500 0.2500 0.2500
12 Os 0.2500 0.7500 0.7500
13 Os 0.5000 0.0000 0.0000
14 Os 0.5000 0.5000 0.5000
15 Os 0.7500 0.2500 0.7500
16 Os 0.7500 0.7500 0.2500

Properties
- Formation energy: 595.3 meV per atom
- Calculated density: 12.18 g/cm3
- Space group: No. 216

Ca4MnOs: relaxed, PBE.

Cell: 6.0622 6.0622 6.0622 Å, 60.00 60.00 60.00°
Sites, in units of the cell vectors:
1 Ca 0.3763 0.3763 0.3763
2 Ca 0.3763 0.3763 0.8710
3 Ca 0.3763 0.8710 0.3763
4 Ca 0.8710 0.3763 0.3763
5 Mn 0.0000 0.0000 0.0000
6 Os 0.7500 0.7500 0.7500

Properties
- Formation energy: 1194.3 meV per atom
- Calculated density: 4.27 g/cm3
- Space group: No. 216

CaMnOs2: relaxed, PBE.

Cell: 2.8757 2.8757 8.5192 Å, 90.00 90.00 90.00°
Sites, in units of the cell vectors:
1 Ca 0.0000 0.0000 0.0000
2 Mn 0.5000 0.5000 0.3205
3 Os 0.0000 0.0000 0.5333
4 Os 0.5000 0.5000 0.7272

Properties
- Formation energy: 377.1 meV per atom
- Calculated density: 11.21 g/cm3
- Space group: No. 99

CaMnOs2: relaxed, PBE.

Cell: 2.7585 4.2566 5.9301 Å, 90.00 103.35 90.00°
Sites, in units of the cell vectors:
1 Ca 0.0000 0.0000 0.0000
2 Mn 0.5000 0.0000 0.5000
3 Os 0.3208 0.5000 0.6966
4 Os 0.6792 0.5000 0.3034

Properties
- Formation energy: 536.1 meV per atom
- Calculated density: 11.65 g/cm3
- Space group: No. 10

CaMnOs2: relaxed, PBE.

Cell: 5.7909 8.6727 2.5892 Å, 90.00 90.00 90.00°
Sites, in units of the cell vectors:
1 Ca 0.0000 0.0000 0.0000
2 Ca 0.5000 0.5000 0.0000
3 Mn 0.0000 0.5000 0.0000
4 Mn 0.5000 0.0000 0.0000
5 Os 0.2500 0.2500 0.5000
6 Os 0.2500 0.7500 0.5000
7 Os 0.7500 0.2500 0.5000
8 Os 0.7500 0.7500 0.5000

Properties
- Formation energy: 649.6 meV per atom
- Calculated density: 12.14 g/cm3
- Space group: No. 65

CaMnOs2: relaxed, PBE.

Cell: 2.8509 3.7547 6.8000 Å, 90.00 90.00 90.00°
Sites, in units of the cell vectors:
1 Ca 0.0000 0.0000 0.0000
2 Mn 0.5000 0.5000 0.3160
3 Os 0.0000 0.0000 0.5200
4 Os 0.5000 0.5000 0.6828

Properties
- Formation energy: 442.8 meV per atom
- Calculated density: 10.85 g/cm3
- Space group: No. 25

CaMnOs2: relaxed, PBE.

Cell: 2.8000 2.8000 27.6843 Å, 90.00 90.00 120.00°
Sites, in units of the cell vectors:
1 Ca 0.0000 0.0000 0.0000
2 Ca 0.3333 0.6667 0.6667
3 Ca 0.6667 0.3333 0.3333
4 Mn 0.0000 0.0000 0.5000
5 Mn 0.3333 0.6667 0.1667
6 Mn 0.6667 0.3333 0.8333
7 Os 0.0000 0.0000 0.2394
8 Os 0.0000 0.0000 0.7606
9 Os 0.3333 0.6667 0.4273
10 Os 0.3333 0.6667 0.9061
11 Os 0.6667 0.3333 0.0939
12 Os 0.6667 0.3333 0.5727

Properties
- Formation energy: 548.6 meV per atom
- Calculated density: 12.60 g/cm3
- Space group: No. 166

What did the fifth record say?
CaMnOs2: relaxed, PBE.

Cell: 2.7585 4.2566 5.9301 Å, 90.00 103.35 90.00°
Sites, in units of the cell vectors:
1 Ca 0.0000 0.0000 0.0000
2 Mn 0.5000 0.0000 0.5000
3 Os 0.3208 0.5000 0.6966
4 Os 0.6792 0.5000 0.3034

Properties
- Formation energy: 536.1 meV per atom
- Calculated density: 11.65 g/cm3
- Space group: No. 10